[1]
This record from the Alexandria database describes an optimized crystal structure of MgH2Pd2. The functional is PBE.

CIF file:
```
data_MgH2Pd2
_chemical_formula_sum 'Mg2 H4 Pd4'
_cell_length_a 5.082
_cell_length_b 5.079
_cell_length_c 5.552
_cell_angle_alpha 105.86
_cell_angle_beta 106.04
_cell_angle_gamma 117.26
_space_group_name_H-M_alt 'P 1'
_space_group_IT_number 1
loop_
_space_group_symop_operation_xyz
'x,y,z'
loop_
_atom_site_label
_atom_site_fract_x
_atom_site_fract_y
_atom_site_fract_z
H1 0.953 0.742 0.534
Pd1 0.314 0.187 0.750
H2 0.759 0.550 0.966
H3 0.047 0.258 0.466
Pd2 0.027 0.472 0.250
Mg1 0.369 0.132 0.250
Pd3 0.973 0.528 0.750
Pd4 0.686 0.813 0.250
Mg2 0.631 0.868 0.750
H4 0.241 0.450 0.034
```

Results
**Volume**: 108.20 Å³/cell
**Theoretical density**: 7.3 g cm⁻³
**Offset from the most stable computed form**: 0 meV per atom
**E_tot**: -4.135 eV per atom
**D(E_F)**: 0.6 states/eV/f.u.

---

[2]
This record from the Alexandria database describes an optimized crystal structure of MgH2Pd2. The functional is PBE.

CIF file:
```
data_MgH2Pd2
_chemical_formula_sum 'Mg1 H2 Pd2'
_cell_length_a 3.344
_cell_length_b 3.344
_cell_length_c 5.408
_cell_angle_alpha 71.99
_cell_angle_beta 71.99
_cell_angle_gamma 90.00
_space_group_name_H-M_alt 'P 1'
_space_group_IT_number 1
loop_
_space_group_symop_operation_xyz
'x,y,z'
loop_
_atom_site_label
_atom_site_fract_x
_atom_site_fract_y
_atom_site_fract_z
H1 0.250 0.750 0.500
Mg1 0.000 0.000 0.000
H2 0.750 0.250 0.500
Pd1 0.656 0.656 0.688
Pd2 0.344 0.344 0.312
```

Results
**Volume**: 54.39 Å³/cell
**Theoretical density**: 7.3 g cm⁻³
**Offset from the most stable computed form**: 68 meV per atom
**E_tot**: -4.067 eV per atom
**D(E_F)**: 1.2 states/eV/f.u.

---

[3]
This record from the Alexandria database describes an optimized crystal structure of Mg2HPd6. The functional is PBE.

CIF file:
```
data_Mg2HPd6
_chemical_formula_sum 'Mg2 H1 Pd6'
_cell_length_a 5.652
_cell_length_b 5.652
_cell_length_c 5.651
_cell_angle_alpha 60.01
_cell_angle_beta 60.01
_cell_angle_gamma 59.98
_space_group_name_H-M_alt 'P 1'
_space_group_IT_number 1
loop_
_space_group_symop_operation_xyz
'x,y,z'
loop_
_atom_site_label
_atom_site_fract_x
_atom_site_fract_y
_atom_site_fract_z
Pd1 0.752 0.248 0.752
Pd2 0.248 0.248 0.752
Pd3 0.752 0.752 0.248
Pd4 0.248 0.752 0.752
Pd5 0.248 0.752 0.248
H1 0.500 0.500 0.500
Mg1 0.250 0.250 0.250
Mg2 0.750 0.750 0.750
Pd6 0.752 0.248 0.248
```

Results
**Volume**: 127.64 Å³/cell
**Theoretical density**: 9.0 g cm⁻³
**E_tot**: -4.660 eV per atom
**D(E_F)**: 7.4 states/eV/f.u.

---

Question: The highest theoretical density belongs to which entry?
Answer: Mg2HPd6

---

Question: What is the D(E_F) in the second record?
Answer: 1.2 states/eV/f.u.

---

Question: volume of number 2 (MgH2Pd2)?
Answer: 54.39 Å³/cell

---

Question: Which value of volume does entry 2 give?
Answer: 54.39 Å³/cell